1.
DFT (PBE) results for a geometry-optimized BSbPdPt2 structure.

The structure belongs to space group P4/mmm (No. 123); the cell edges are 4.265, 4.265 and 4.429 Å and the angles 90.00°, 90.00° and 90.00°. The distinct sites, in fractional coordinates, are B at (0.000, 0.000, 0.000), Sb at (0.500, 0.500, 0.500), Pd at (0.000, 0.000, 0.500) and Pt at (0.000, 0.500, 0.000).

Its uncorrected formation energy is -140.8 meV per atom. The crystal system is tetragonal. Its volume is 16.11 A^3/atom.


2.
DFT (PBE) results for a geometry-optimized Ca2LaRuPb structure.

The structure belongs to space group P4/mmm (No. 123); the cell edges are 5.550, 5.550 and 5.204 Å and the angles 90.00°, 90.00° and 90.00°. The distinct sites, in fractional coordinates, are Ca at (0.000, 0.500, 0.000), La at (0.000, 0.000, 0.500), Ru at (0.000, 0.000, 0.000) and Pb at (0.500, 0.500, 0.500).

The crystal system is tetragonal. Its volume is 32.06 A^3/atom. The formation energy comes out at -0.173 eV/atom.


3.
DFT (PBE) results for a geometry-optimized Tl3Pd2Se4 structure.

The structure belongs to space group C2/c (No. 15); the cell edges are 14.543, 13.464 and 5.076 Å and the angles 90.00°, 92.86° and 90.00°. The distinct sites, in fractional coordinates, are Tl at (0.000, 0.111, 0.250), Tl at (0.096, 0.396, 0.005), Pd at (0.213, 0.112, 0.492), Se at (0.138, 0.280, 0.510) and Se at (0.195, 0.073, 0.984).

Its uncorrected formation energy is -238.9 meV per atom. The crystal system is monoclinic. Its volume is 27.57 A^3/atom.